NaTlReCl6 | PBE | relaxed Values from VASP.

```
&SYSTEM
  ibrav = 0, nat = 18, ntyp = 4
/
ATOMIC_SPECIES
Na 22.99 Na.upf
Tl 204.38 Tl.upf
Re 186.21 Re.upf
Cl 35.45 Cl.upf
ATOMIC_POSITIONS angstrom
Na 0.000 4.020 3.319
Na 3.481 2.010 9.956
Tl 0.000 0.000 0.000
Tl 0.000 0.000 6.637
Re 0.000 4.020 9.956
Re 3.481 2.010 3.319
Cl -1.035 2.381 8.573
Cl -1.937 3.943 11.338
Cl 1.035 2.381 11.338
Cl -0.902 5.736 8.573
Cl 2.580 0.294 1.936
Cl 1.545 2.087 4.701
Cl 1.937 3.943 8.573
Cl 0.902 5.736 11.338
Cl 4.383 0.294 4.701
Cl 2.447 3.649 1.936
Cl 5.418 2.087 1.936
Cl 4.516 3.649 4.701
CELL_PARAMETERS angstrom
6.963 0.000 0.000
-3.481 6.030 0.000
0.000 0.000 13.274
```

Raw total energy, eV per cell: -72.32

=====

PuCuAgF6 | PBE | relaxed Values from VASP.

```
&SYSTEM
  ibrav = 0, nat = 18, ntyp = 4
/
ATOMIC_SPECIES
Pu 244.00 Pu.upf
Cu 63.55 Cu.upf
Ag 107.87 Ag.upf
F 19.00 F.upf
ATOMIC_POSITIONS angstrom
Pu 0.000 3.354 2.557
Pu 2.905 1.677 7.670
Cu 0.000 3.354 7.670
Cu 2.905 1.677 2.557
Ag 0.000 0.000 0.000
Ag 0.000 0.000 5.113
F -1.016 1.798 6.520
F -1.856 3.252 8.820
F 1.016 1.798 8.820
F -0.839 5.012 6.520
F 2.065 0.019 1.407
F 1.049 1.779 3.707
F 1.856 3.252 6.520
F 0.839 5.012 8.820
F 3.744 0.019 3.707
F 1.889 3.233 1.407
F 4.760 1.779 1.407
F 3.921 3.233 3.707
CELL_PARAMETERS angstrom
5.810 0.000 0.000
-2.905 5.031 0.000
0.000 0.000 10.227
```

Raw total energy, eV per cell: -106.87

=====

Nd2PaRuN4 | PBE | relaxed Values from VASP.

```
&SYSTEM
  ibrav = 0, nat = 16, ntyp = 4
/
ATOMIC_SPECIES
Nd 144.24 Nd.upf
Pa 231.04 Pa.upf
Ru 101.07 Ru.upf
N 14.01 N.upf
ATOMIC_POSITIONS angstrom
Nd 1.705 4.337 6.697
Nd 1.705 4.337 11.440
Nd 1.705 -4.337 0.651
Nd 1.705 -4.337 5.394
Pa 1.705 1.325 9.068
Pa 1.705 -1.325 3.023
Ru 1.705 1.736 3.023
Ru 1.705 -1.736 9.068
N 1.705 5.425 9.068
N 1.705 3.395 1.728
N 1.705 3.395 4.318
N 1.705 0.000 0.000
N 1.705 0.000 6.046
N 1.705 -3.395 7.773
N 1.705 -3.395 10.363
N 1.705 -5.425 3.023
CELL_PARAMETERS angstrom
1.705 -5.869 0.000
1.705 5.869 0.000
0.000 0.000 12.091
```

Raw total energy, eV per cell: -138.53

=====

MnAl2Sb | PBE | relaxed Values from VASP.

```
&SYSTEM
  ibrav = 0, nat = 4, ntyp = 3
/
ATOMIC_SPECIES
Mn 54.94 Mn.upf
Al 26.98 Al.upf
Sb 121.76 Sb.upf
ATOMIC_POSITIONS angstrom
Mn 0.000 0.000 0.000
Al 0.000 0.000 4.685
Al 1.486 1.486 6.630
Sb 1.486 1.486 2.004
CELL_PARAMETERS angstrom
2.973 0.000 0.000
0.000 2.973 0.000
0.000 0.000 8.230
```

Raw total energy, eV per cell: -20.30

=====

Co2Pd2Pt3 | PBE | relaxed Values from VASP.

```
&SYSTEM
  ibrav = 0, nat = 7, ntyp = 3
/
ATOMIC_SPECIES
Co 58.93 Co.upf
Pd 106.42 Pd.upf
Pt 195.08 Pt.upf
ATOMIC_POSITIONS angstrom
Co 1.773 0.000 0.809
Co 5.956 0.000 5.278
Pd 2.559 0.000 3.471
Pd 5.170 0.000 2.616
Pt 0.000 0.000 4.433
Pt 4.311 0.000 0.000
Pt 7.728 0.000 1.654
CELL_PARAMETERS angstrom
4.311 -1.923 0.000
4.311 1.923 0.000
-0.894 0.000 6.087
```

Raw total energy, eV per cell: -43.14

=====

Li2ErAg2Pb2 | PBE | relaxed Values from VASP.

```
&SYSTEM
  ibrav = 0, nat = 7, ntyp = 4
/
ATOMIC_SPECIES
Li 6.94 Li.upf
Er 167.26 Er.upf
Ag 107.87 Ag.upf
Pb 207.20 Pb.upf
ATOMIC_POSITIONS angstrom
Li 0.000 0.000 3.265
Li 0.000 0.000 20.058
Er 0.000 0.000 0.000
Ag 0.000 0.000 10.196
Ag 0.000 0.000 13.126
Pb 0.000 0.000 6.200
Pb 0.000 0.000 17.122
CELL_PARAMETERS angstrom
2.383 1.376 7.774
-2.383 1.376 7.774
0.000 -2.752 7.774
```

Raw total energy, eV per cell: -23.24

=====

Ca2HoPaBi4 | PBE | relaxed Values from VASP.

```
&SYSTEM
  ibrav = 0, nat = 8, ntyp = 4
/
ATOMIC_SPECIES
Ca 40.08 Ca.upf
Ho 164.93 Ho.upf
Pa 231.04 Pa.upf
Bi 208.98 Bi.upf
ATOMIC_POSITIONS angstrom
Ca 0.000 0.000 0.000
Ca 3.906 2.281 0.000
Ho -1.304 2.281 3.733
Pa 2.601 0.000 3.733
Bi 0.033 0.000 5.499
Bi 1.326 2.281 1.971
Bi 3.877 2.281 5.494
Bi 5.170 0.000 1.966
CELL_PARAMETERS angstrom
7.812 0.000 0.000
0.000 4.562 0.000
-2.609 0.000 7.465
```

Raw total energy, eV per cell: -38.83

=====

NaTeS2Br | PBE | relaxed Values from VASP.

```
&SYSTEM
  ibrav = 0, nat = 10, ntyp = 4
/
ATOMIC_SPECIES
Na 22.99 Na.upf
Te 127.60 Te.upf
S 32.06 S.upf
Br 79.90 Br.upf
ATOMIC_POSITIONS angstrom
Na 0.299 1.320 3.710
Na 5.366 3.960 5.042
Te 1.059 1.320 7.531
Te 4.606 3.960 1.222
S 0.583 3.960 8.179
S 2.375 1.320 5.674
S 3.290 3.960 3.079
S 5.082 1.320 0.574
Br -0.635 3.960 2.819
Br 6.300 1.320 5.934
CELL_PARAMETERS angstrom
7.942 0.000 0.000
0.000 5.280 0.000
-2.277 0.000 8.753
```

Raw total energy, eV per cell: -33.48

=====

> The lowest raw total energy belongs to which entry?

Nd2PaRuN4